Entry 1:
# Ba2Al2Cu, relaxed, DFT PBE-GGA
data_Ba2Al2Cu
_chemical_formula_sum 'Ba4 Al4 Cu2'
_cell_length_a 7.024
_cell_length_b 7.024
_cell_length_c 5.657
_cell_angle_alpha 90.00
_cell_angle_beta 90.00
_cell_angle_gamma 90.00
_space_group_name_H-M_alt 'P 1'
_space_group_IT_number 1
loop_
_space_group_symop_operation_xyz
'x,y,z'
loop_
_atom_site_label
_atom_site_type_symbol
_atom_site_fract_x
_atom_site_fract_y
_atom_site_fract_z
Ba1 Ba 0.175 0.325 0.000
Ba2 Ba 0.325 0.825 0.000
Ba3 Ba 0.675 0.175 0.000
Ba4 Ba 0.825 0.675 0.000
Al1 Al 0.139 0.639 0.500
Al2 Al 0.361 0.139 0.500
Al3 Al 0.639 0.861 0.500
Al4 Al 0.861 0.361 0.500
Cu1 Cu 0.000 0.000 0.500
Cu2 Cu 0.500 0.500 0.500
# SG	P4/mbm (127)
# E_tot	-2.987	eV per atom
# formation enthalpy at 0 K	0.099	eV per atom


Entry 2:
# AcNd2Te, relaxed, DFT PBE-GGA
data_AcNd2Te
_chemical_formula_sum 'Ac1 Nd2 Te1'
_cell_length_a 5.145
_cell_length_b 5.145
_cell_length_c 4.843
_cell_angle_alpha 90.00
_cell_angle_beta 90.00
_cell_angle_gamma 90.00
_space_group_name_H-M_alt 'P 1'
_space_group_IT_number 1
loop_
_space_group_symop_operation_xyz
'x,y,z'
loop_
_atom_site_label
_atom_site_type_symbol
_atom_site_fract_x
_atom_site_fract_y
_atom_site_fract_z
Ac1 Ac 0.000 0.000 0.000
Nd1 Nd 0.000 0.500 0.500
Nd2 Nd 0.500 0.000 0.500
Te1 Te 0.500 0.500 0.000
# SG	P4/mmm (123)
# polymorph energy (0 for the lowest one)	0.127	eV per atom
# E_tot	-4.699	eV per atom
# formation energy from raw total energies	-502.3	meV per atom


Entry 3:
# SrLiBi3, relaxed, DFT PBE-GGA
data_SrLiBi3
_chemical_formula_sum 'Sr1 Li1 Bi3'
_cell_length_a 6.149
_cell_length_b 6.149
_cell_length_c 6.149
_cell_angle_alpha 90.00
_cell_angle_beta 90.00
_cell_angle_gamma 90.00
_space_group_name_H-M_alt 'P 1'
_space_group_IT_number 1
loop_
_space_group_symop_operation_xyz
'x,y,z'
loop_
_atom_site_label
_atom_site_type_symbol
_atom_site_fract_x
_atom_site_fract_y
_atom_site_fract_z
Sr1 Sr 0.000 0.000 0.000
Li1 Li 0.500 0.500 0.500
Bi1 Bi 0.000 0.000 0.500
Bi2 Bi 0.000 0.500 0.000
Bi3 Bi 0.500 0.000 0.000
# SG	Pm-3m (221)
# polymorph energy (0 for the lowest one)	0.745	eV per atom
# E_tot	-2.585	eV per atom
# formation enthalpy at 0 K	0.462	eV per atom


Entry 4:
# TcTeSe2, relaxed, DFT PBE-GGA
data_TcTeSe2
_chemical_formula_sum 'Tc1 Te1 Se2'
_cell_length_a 3.278
_cell_length_b 4.846
_cell_length_c 4.915
_cell_angle_alpha 90.00
_cell_angle_beta 90.00
_cell_angle_gamma 90.00
_space_group_name_H-M_alt 'P 1'
_space_group_IT_number 1
loop_
_space_group_symop_operation_xyz
'x,y,z'
loop_
_atom_site_label
_atom_site_type_symbol
_atom_site_fract_x
_atom_site_fract_y
_atom_site_fract_z
Tc1 Tc 0.000 0.000 0.000
Te1 Te 0.500 0.000 0.500
Se1 Se 0.000 0.500 0.500
Se2 Se 0.500 0.500 0.000
# SG	Pmmm (47)
# E_tot	-4.434	eV per atom
# formation energy from raw total energies	684.8	meV per atom


Entry 5:
# Cd2AgIr, relaxed, DFT PBE-GGA
data_Cd2AgIr
_chemical_formula_sum 'Cd2 Ag1 Ir1'
_cell_length_a 2.876
_cell_length_b 2.876
_cell_length_c 9.939
_cell_angle_alpha 90.00
_cell_angle_beta 90.00
_cell_angle_gamma 116.94
_space_group_name_H-M_alt 'P 1'
_space_group_IT_number 1
loop_
_space_group_symop_operation_xyz
'x,y,z'
loop_
_atom_site_label
_atom_site_type_symbol
_atom_site_fract_x
_atom_site_fract_y
_atom_site_fract_z
Cd1 Cd 0.000 0.000 0.000
Cd2 Cd 0.500 0.500 0.277
Ag1 Ag 0.500 0.500 0.748
Ir1 Ir 0.000 0.000 0.512
# SG	Cmm2 (35)
# E_tot	-3.127	eV per atom
# formation enthalpy at 0 K	0.259	eV per atom


Entry 6:
# Nb6ReRu, relaxed, DFT PBE-GGA
data_Nb6ReRu
_chemical_formula_sum 'Nb6 Re1 Ru1'
_cell_length_a 7.323
_cell_length_b 7.323
_cell_length_c 7.323
_cell_angle_alpha 143.58
_cell_angle_beta 143.58
_cell_angle_gamma 52.46
_space_group_name_H-M_alt 'P 1'
_space_group_IT_number 1
loop_
_space_group_symop_operation_xyz
'x,y,z'
loop_
_atom_site_label
_atom_site_type_symbol
_atom_site_fract_x
_atom_site_fract_y
_atom_site_fract_z
Nb1 Nb 0.122 0.622 0.500
Nb2 Nb 0.249 0.249 0.000
Nb3 Nb 0.378 0.878 0.500
Nb4 Nb 0.622 0.122 0.500
Nb5 Nb 0.751 0.751 0.000
Nb6 Nb 0.878 0.378 0.500
Re1 Re 0.000 0.000 0.000
Ru1 Ru 0.500 0.500 0.000
# SG	I4/mmm (139)
# polymorph energy (0 for the lowest one)	0.000	eV per atom
# E_tot	-10.463	eV per atom
# formation enthalpy at 0 K	-0.195	eV per atom


Among the records above, which one has the lowest E_tot?
Nb6ReRu


E_tot of number 3 (SrLiBi3)?
-2.585 eV per atom


What is the formula in the second record?
AcNd2Te